# VSb2S4 | Alexandria | PBE | relaxed
# - Spin magnetization: 4.1 Bohr magnetons per cell
# - Formation energy (no corrections): -88 meV per atom
data_VSb2S4
_symmetry_space_group_name_H-M 'I 4/m m m'
_symmetry_Int_Tables_number 139
_symmetry_space_group_name_Hall '-I 4 2'
_cell_length_a 4.5705
_cell_length_b 4.5705
_cell_length_c 14.2830
_cell_angle_alpha 90.00
_cell_angle_beta 90.00
_cell_angle_gamma 90.00
loop_
_atom_site_label
_atom_site_type_symbol
_atom_site_fract_x
_atom_site_fract_y
_atom_site_fract_z
V1 V 0.0000 0.0000 0.0000
Sb1 Sb 0.0000 0.0000 0.3549
S1 S 0.0000 0.0000 0.1750
S2 S 0.0000 0.5000 0.0000


# CrSn2Hg | Alexandria | PBE | relaxed
# - Spin magnetization: 15.9 Bohr magnetons per cell
# - Calculated formation energy: 0.372 eV per atom
data_CrSn2Hg
_symmetry_space_group_name_H-M 'I -4 2 d'
_symmetry_Int_Tables_number 122
_symmetry_space_group_name_Hall 'I -4 2bw'
_cell_length_a 4.5834
_cell_length_b 4.5834
_cell_length_c 19.0287
_cell_angle_alpha 90.00
_cell_angle_beta 90.00
_cell_angle_gamma 90.00
loop_
_atom_site_label
_atom_site_type_symbol
_atom_site_fract_x
_atom_site_fract_y
_atom_site_fract_z
Cr1 Cr 0.0000 0.0000 0.0000
Sn1 Sn 0.2288 0.2500 0.1250
Hg1 Hg 0.0000 0.0000 0.5000


# Na2ZnCdAu2 | Alexandria | PBE | relaxed
# - Spin magnetization: 0.0 Bohr magnetons per cell
# - Calculated formation energy: -0.240 eV per atom
data_Na2ZnCdAu2
_symmetry_space_group_name_H-M 'I b a m'
_symmetry_Int_Tables_number 72
_symmetry_space_group_name_Hall '-I 2 2c'
_cell_length_a 6.0870
_cell_length_b 15.0508
_cell_length_c 6.0821
_cell_angle_alpha 90.00
_cell_angle_beta 90.00
_cell_angle_gamma 90.00
loop_
_atom_site_label
_atom_site_type_symbol
_atom_site_fract_x
_atom_site_fract_y
_atom_site_fract_z
Na1 Na 0.2320 0.1799 0.0000
Zn1 Zn 0.0000 0.5000 0.2500
Cd1 Cd 0.0000 0.0000 0.2500
Au1 Au 0.2182 0.3846 0.0000


# Pa3Se5F | Alexandria | PBE | relaxed
# - Spin magnetization: 16.0 Bohr magnetons per cell
# - Formation energy (no corrections): -1502 meV per atom
data_Pa3Se5F
_symmetry_space_group_name_H-M 'C 1 2/m 1'
_symmetry_Int_Tables_number 12
_symmetry_space_group_name_Hall '-C 2y'
_cell_length_a 12.1098
_cell_length_b 9.5245
_cell_length_c 9.2720
_cell_angle_alpha 90.00
_cell_angle_beta 107.60
_cell_angle_gamma 90.00
loop_
_atom_site_label
_atom_site_type_symbol
_atom_site_fract_x
_atom_site_fract_y
_atom_site_fract_z
Pa1 Pa 0.0000 0.0000 0.0000
Pa2 Pa 0.0000 0.0000 0.5000
Pa3 Pa 0.1601 0.5000 0.1603
Pa4 Pa 0.2116 0.5000 0.5838
Se1 Se 0.0000 0.2934 0.0000
Se2 Se 0.0117 0.5000 0.3338
Se3 Se 0.1872 0.1886 0.6269
Se4 Se 0.2423 0.0000 0.0816
F1 F 0.0564 0.0000 0.2740


# Pr6P2PtS3 | Alexandria | PBE | relaxed
# - Spin magnetization: 0.0 Bohr magnetons per cell
# - Formation energy (no corrections): -1704 meV per atom
data_Pr6P2PtS3
_symmetry_space_group_name_H-M 'C 1 2/m 1'
_symmetry_Int_Tables_number 12
_symmetry_space_group_name_Hall '-C 2y'
_cell_length_a 18.2055
_cell_length_b 4.1491
_cell_length_c 8.3839
_cell_angle_alpha 90.00
_cell_angle_beta 103.20
_cell_angle_gamma 90.00
loop_
_atom_site_label
_atom_site_type_symbol
_atom_site_fract_x
_atom_site_fract_y
_atom_site_fract_z
Pr1 Pr 0.0016 0.0000 0.2519
Pr2 Pr 0.1688 0.5000 0.0898
Pr3 Pr 0.1688 0.5000 0.5801
P1 P 0.1667 0.0000 0.3343
Pt1 Pt 0.0000 0.5000 0.0000
S1 S 0.0000 0.5000 0.5000
S2 S 0.1676 0.0000 0.8336


# Ca2Mg12Ag7 | Alexandria | PBE | relaxed
# - Spin magnetization: 0.0 Bohr magnetons per cell
# - Calculated formation energy: -0.184 eV per atom
data_Ca2Mg12Ag7
_symmetry_space_group_name_H-M 'P -6'
_symmetry_Int_Tables_number 174
_symmetry_space_group_name_Hall 'P -6'
_cell_length_a 11.6279
_cell_length_b 11.6279
_cell_length_c 3.9752
_cell_angle_alpha 90.00
_cell_angle_beta 90.00
_cell_angle_gamma 120.00
loop_
_atom_site_label
_atom_site_type_symbol
_atom_site_fract_x
_atom_site_fract_y
_atom_site_fract_z
Ca1 Ca 0.0000 0.0000 0.0000
Ca2 Ca 0.3333 0.6667 0.5000
Mg1 Mg 0.0462 0.2768 0.5000
Mg2 Mg 0.1030 0.7176 0.0000
Mg3 Mg 0.4400 0.2000 0.0000
Mg4 Mg 0.5075 0.4471 0.5000
Ag1 Ag 0.0917 0.4661 0.0000
Ag2 Ag 0.2505 0.2011 0.5000
Ag3 Ag 0.6667 0.3333 0.5000


# MgNb2VBr | Alexandria | PBE | relaxed
# - Spin magnetization: 0.0 Bohr magnetons per cell
# - Formation energy (no corrections): 1003 meV per atom
data_MgNb2VBr
_symmetry_space_group_name_H-M 'P 4/m m m'
_symmetry_Int_Tables_number 123
_symmetry_space_group_name_Hall '-P 4 2'
_cell_length_a 4.7064
_cell_length_b 4.7064
_cell_length_c 5.0068
_cell_angle_alpha 90.00
_cell_angle_beta 90.00
_cell_angle_gamma 90.00
loop_
_atom_site_label
_atom_site_type_symbol
_atom_site_fract_x
_atom_site_fract_y
_atom_site_fract_z
Mg1 Mg 0.0000 0.0000 0.0000
Nb1 Nb 0.0000 0.5000 0.5000
V1 V 0.5000 0.5000 0.5000
Br1 Br 0.5000 0.5000 0.0000


# Mg2Co5B4 | Alexandria | PBE | relaxed
# - Spin magnetization: 2.8 Bohr magnetons per cell
# - Calculated formation energy: -0.269 eV per atom
data_Mg2Co5B4
_symmetry_space_group_name_H-M 'F m m m'
_symmetry_Int_Tables_number 69
_symmetry_space_group_name_Hall '-F 2 2'
_cell_length_a 4.9127
_cell_length_b 8.8174
_cell_length_c 10.5589
_cell_angle_alpha 90.00
_cell_angle_beta 90.00
_cell_angle_gamma 90.00
loop_
_atom_site_label
_atom_site_type_symbol
_atom_site_fract_x
_atom_site_fract_y
_atom_site_fract_z
Mg1 Mg 0.0000 0.0000 0.1397
Co1 Co 0.0000 0.0000 0.5000
Co2 Co 0.2500 0.2500 0.0000
Co3 Co 0.2500 0.2500 0.2500
B1 B 0.0000 0.1470 0.3639


# Pr3AgAu2 | Alexandria | PBE | relaxed
# - Spin magnetization: 0.0 Bohr magnetons per cell
# - Calculated formation energy: -0.585 eV per atom
# - Energy above the lowest structure with this stoichiometry: 0.00 eV per formula unit
data_Pr3AgAu2
_symmetry_space_group_name_H-M 'P 4/m m m'
_symmetry_Int_Tables_number 123
_symmetry_space_group_name_Hall '-P 4 2'
_cell_length_a 3.7463
_cell_length_b 3.7463
_cell_length_c 11.3208
_cell_angle_alpha 90.00
_cell_angle_beta 90.00
_cell_angle_gamma 90.00
loop_
_atom_site_label
_atom_site_type_symbol
_atom_site_fract_x
_atom_site_fract_y
_atom_site_fract_z
Pr1 Pr 0.0000 0.0000 0.0000
Pr2 Pr 0.0000 0.0000 0.3284
Ag1 Ag 0.5000 0.5000 0.5000
Au1 Au 0.5000 0.5000 0.1680


# Sc3TiBi | Alexandria | PBE | relaxed
# - Spin magnetization: 0.0 Bohr magnetons per cell
# - Calculated formation energy: 0.393 eV per atom
# - Energy above the lowest structure with this stoichiometry: 0.00 eV per formula unit
data_Sc3TiBi
_symmetry_space_group_name_H-M 'P m -3 m'
_symmetry_Int_Tables_number 221
_symmetry_space_group_name_Hall '-P 4 2 3'
_cell_length_a 5.0528
_cell_length_b 5.0528
_cell_length_c 5.0528
_cell_angle_alpha 90.00
_cell_angle_beta 90.00
_cell_angle_gamma 90.00
loop_
_atom_site_label
_atom_site_type_symbol
_atom_site_fract_x
_atom_site_fract_y
_atom_site_fract_z
Sc1 Sc 0.0000 0.0000 0.5000
Ti1 Ti 0.0000 0.0000 0.0000
Bi1 Bi 0.5000 0.5000 0.5000


# NaCeTlBi | Alexandria | PBE | relaxed
# - Spin magnetization: 3.9 Bohr magnetons per cell
# - Calculated formation energy: -0.303 eV per atom
data_NaCeTlBi
_symmetry_space_group_name_H-M 'F -4 3 m'
_symmetry_Int_Tables_number 216
_symmetry_space_group_name_Hall 'F -4 2 3'
_cell_length_a 7.7736
_cell_length_b 7.7736
_cell_length_c 7.7736
_cell_angle_alpha 90.00
_cell_angle_beta 90.00
_cell_angle_gamma 90.00
loop_
_atom_site_label
_atom_site_type_symbol
_atom_site_fract_x
_atom_site_fract_y
_atom_site_fract_z
Na1 Na 0.0000 0.0000 0.0000
Ce1 Ce 0.0000 0.0000 0.5000
Tl1 Tl 0.2500 0.2500 0.2500
Bi1 Bi 0.2500 0.2500 0.7500


# Pm3Ho3CuS8 | Alexandria | PBE | relaxed
# - Spin magnetization: 0.0 Bohr magnetons per cell
# - Formation energy (no corrections): -1817 meV per atom
data_Pm3Ho3CuS8
_symmetry_space_group_name_H-M 'R -3 m'
_symmetry_Int_Tables_number 166
_symmetry_space_group_name_Hall '-R 3 2"'
_cell_length_a 7.8327
_cell_length_b 7.8327
_cell_length_c 19.3318
_cell_angle_alpha 90.00
_cell_angle_beta 90.00
_cell_angle_gamma 120.00
loop_
_atom_site_label
_atom_site_type_symbol
_atom_site_fract_x
_atom_site_fract_y
_atom_site_fract_z
Pm1 Pm 0.0000 0.5000 0.0000
Ho1 Ho 0.0000 0.5000 0.5000
Cu1 Cu 0.0000 0.0000 0.5000
S1 S 0.0000 0.0000 0.2461
S2 S 0.0038 0.5019 0.2450


# ZrTiAuCl2 | Alexandria | PBE | relaxed
# - Spin magnetization: 1.1 Bohr magnetons per cell
# - Formation energy (no corrections): -158 meV per atom
# - Energy above the lowest structure with this stoichiometry: 0.00 eV per formula unit
data_ZrTiAuCl2
_symmetry_space_group_name_H-M 'P 4/m m m'
_symmetry_Int_Tables_number 123
_symmetry_space_group_name_Hall '-P 4 2'
_cell_length_a 4.5236
_cell_length_b 4.5236
_cell_length_c 5.5410
_cell_angle_alpha 90.00
_cell_angle_beta 90.00
_cell_angle_gamma 90.00
loop_
_atom_site_label
_atom_site_type_symbol
_atom_site_fract_x
_atom_site_fract_y
_atom_site_fract_z
Zr1 Zr 0.0000 0.0000 0.0000
Ti1 Ti 0.5000 0.5000 0.5000
Au1 Au 0.5000 0.5000 0.0000
Cl1 Cl 0.0000 0.5000 0.5000


# TeAsBr | Alexandria | PBE | relaxed
# - Spin magnetization: 0.0 Bohr magnetons per cell
# - Formation energy (no corrections): 225 meV per atom
data_TeAsBr
_symmetry_space_group_name_H-M 'F -4 3 m'
_symmetry_Int_Tables_number 216
_symmetry_space_group_name_Hall 'F -4 2 3'
_cell_length_a 7.0446
_cell_length_b 7.0446
_cell_length_c 7.0446
_cell_angle_alpha 90.00
_cell_angle_beta 90.00
_cell_angle_gamma 90.00
loop_
_atom_site_label
_atom_site_type_symbol
_atom_site_fract_x
_atom_site_fract_y
_atom_site_fract_z
Te1 Te 0.0000 0.0000 0.0000
As1 As 0.2500 0.2500 0.2500
Br1 Br 0.0000 0.0000 0.5000


# Ce3Hg5Se12 | Alexandria | PBE | relaxed
# - Spin magnetization: 2.6 Bohr magnetons per cell
# - Formation energy (no corrections): -677 meV per atom
data_Ce3Hg5Se12
_symmetry_space_group_name_H-M 'I a -3 d'
_symmetry_Int_Tables_number 230
_symmetry_space_group_name_Hall '-I 4bd 2c 3'
_cell_length_a 16.5617
_cell_length_b 16.5617
_cell_length_c 16.5617
_cell_angle_alpha 90.00
_cell_angle_beta 90.00
_cell_angle_gamma 90.00
loop_
_atom_site_label
_atom_site_type_symbol
_atom_site_fract_x
_atom_site_fract_y
_atom_site_fract_z
Ce1 Ce 0.0000 0.2500 0.1250
Hg1 Hg 0.0000 0.0000 0.0000
Hg2 Hg 0.0000 0.2500 0.3750
Se1 Se 0.0167 0.0703 0.6541


# TbPr2Nd3Ho6 | Alexandria | PBE | relaxed
# - Spin magnetization: 0.0 Bohr magnetons per cell
# - Calculated formation energy: 0.014 eV per atom
data_TbPr2Nd3Ho6
_symmetry_space_group_name_H-M 'C 1 2/m 1'
_symmetry_Int_Tables_number 12
_symmetry_space_group_name_Hall '-C 2y'
_cell_length_a 6.2468
_cell_length_b 10.8174
_cell_length_c 11.8270
_cell_angle_alpha 90.00
_cell_angle_beta 100.10
_cell_angle_gamma 90.00
loop_
_atom_site_label
_atom_site_type_symbol
_atom_site_fract_x
_atom_site_fract_y
_atom_site_fract_z
Tb1 Tb 0.0000 0.0000 0.0000
Pr1 Pr 0.0000 0.3336 0.0000
Nd1 Nd 0.0000 0.1668 0.5000
Nd2 Nd 0.0000 0.5000 0.5000
Ho1 Ho 0.2491 0.0000 0.7500
Ho2 Ho 0.2498 0.1664 0.2497


# BaGeI3 | Alexandria | PBE | relaxed
# - Spin magnetization: 0.0 Bohr magnetons per cell
# - Formation energy (no corrections): -706 meV per atom
# - Energy above the lowest structure with this stoichiometry: 0.00 eV per formula unit
data_BaGeI3
_symmetry_space_group_name_H-M 'P m -3 m'
_symmetry_Int_Tables_number 221
_symmetry_space_group_name_Hall '-P 4 2 3'
_cell_length_a 5.9002
_cell_length_b 5.9002
_cell_length_c 5.9002
_cell_angle_alpha 90.00
_cell_angle_beta 90.00
_cell_angle_gamma 90.00
loop_
_atom_site_label
_atom_site_type_symbol
_atom_site_fract_x
_atom_site_fract_y
_atom_site_fract_z
Ba1 Ba 0.0000 0.0000 0.0000
Ge1 Ge 0.5000 0.5000 0.5000
I1 I 0.0000 0.5000 0.5000


# Rb2ZrSBr6 | Alexandria | PBE | relaxed
# - Spin magnetization: 0.0 Bohr magnetons per cell
# - Formation energy (no corrections): -1126 meV per atom
data_Rb2ZrSBr6
_symmetry_space_group_name_H-M 'I 4/m m m'
_symmetry_Int_Tables_number 139
_symmetry_space_group_name_Hall '-I 4 2'
_cell_length_a 8.7379
_cell_length_b 8.7379
_cell_length_c 10.1739
_cell_angle_alpha 90.00
_cell_angle_beta 90.00
_cell_angle_gamma 90.00
loop_
_atom_site_label
_atom_site_type_symbol
_atom_site_fract_x
_atom_site_fract_y
_atom_site_fract_z
Rb1 Rb 0.0000 0.5000 0.2500
Zr1 Zr 0.0000 0.0000 0.0000
S1 S 0.0000 0.0000 0.5000
Br1 Br 0.0000 0.0000 0.2599
Br2 Br 0.2151 0.2151 0.0000


# V3PtSe | Alexandria | PBE | relaxed
# - Spin magnetization: 5.9 Bohr magnetons per cell
# - Formation energy (no corrections): 856 meV per atom
# - Energy above the lowest structure with this stoichiometry: 1.56 eV per formula unit
data_V3PtSe
_symmetry_space_group_name_H-M 'P m -3 m'
_symmetry_Int_Tables_number 221
_symmetry_space_group_name_Hall '-P 4 2 3'
_cell_length_a 4.7713
_cell_length_b 4.7713
_cell_length_c 4.7713
_cell_angle_alpha 90.00
_cell_angle_beta 90.00
_cell_angle_gamma 90.00
loop_
_atom_site_label
_atom_site_type_symbol
_atom_site_fract_x
_atom_site_fract_y
_atom_site_fract_z
V1 V 0.0000 0.0000 0.5000
Pt1 Pt 0.0000 0.0000 0.0000
Se1 Se 0.5000 0.5000 0.5000


# NpAgBr5 | Alexandria | PBE | relaxed
# - Spin magnetization: 12.0 Bohr magnetons per cell
# - Formation energy (no corrections): -950 meV per atom
data_NpAgBr5
_symmetry_space_group_name_H-M 'C 1 2/c 1'
_symmetry_Int_Tables_number 15
_symmetry_space_group_name_Hall '-C 2yc'
_cell_length_a 10.9498
_cell_length_b 10.5101
_cell_length_c 10.9091
_cell_angle_alpha 90.00
_cell_angle_beta 119.12
_cell_angle_gamma 90.00
loop_
_atom_site_label
_atom_site_type_symbol
_atom_site_fract_x
_atom_site_fract_y
_atom_site_fract_z
Np1 Np 0.2500 0.2500 0.0000
Ag1 Ag 0.0000 0.1284 0.2500
Br1 Br 0.0000 0.3181 0.7500
Br2 Br 0.1204 0.3033 0.1552
Br3 Br 0.1768 0.0024 0.4829